No. 1
Material: SmZrPO
Method: DFT, PBE
State: optimized geometry

```
8
Lattice="4.0481 0.0000 0.0000 0.0000 7.3014 0.0000 0.0000 0.0000 5.8262" Properties=species:S:1:pos:R:3 pbc="T T T"
O 0.0000 6.1641 2.0960
O 0.0000 1.1373 5.0091
P 2.0241 2.3815 2.5948
P 2.0241 4.9199 5.5079
Sm 2.0241 5.1736 2.6174
Sm 2.0241 2.1277 5.5305
Zr 0.0000 0.8331 2.9109
Zr 0.0000 6.4682 5.8240
```

Output
* E: -30.80 eV per formula unit
* crystal system: orthorhombic

No. 2
Material: YNb2Hg
Method: DFT, PBE
State: optimized geometry

```
4
Lattice="0.0000 3.4746 3.4746 3.4746 0.0000 3.4746 3.4746 3.4746 0.0000" Properties=species:S:1:pos:R:3 pbc="T T T"
Hg 3.4745 3.4745 3.4745
Nb 0.0000 0.0000 0.0000
Nb 1.7373 1.7373 1.7373
Y 5.2118 5.2118 5.2118
```

Output
* ΔE_f: 20.7 kJ per mole of atoms
* crystal system: cubic

No. 3
Material: Hf2CdAg
Method: DFT, PBE
State: optimized geometry

```
4
Lattice="-0.2112 0.9101 -3.3300 -3.4390 0.2352 0.2824 0.5888 6.5165 1.7436" Properties=species:S:1:pos:R:3 pbc="T T T"
Ag 0.2242 2.4811 0.6639
Cd -1.4655 4.5524 -0.4589
Hf -1.7444 1.4666 -1.2846
Hf 0.5130 5.6780 1.5193
```

Output
* ΔE_f: -6.2 kJ per mole of atoms
* crystal system: tetragonal

No. 4
Material: NdYB
Method: DFT, PBE
State: optimized geometry

```
3
Lattice="2.0223 0.6425 4.1022 1.9873 4.0509 0.9857 -1.9265 2.8217 3.1077" Properties=species:S:1:pos:R:3 pbc="T T T"
B 0.0000 0.0000 0.0000
Nd 0.5208 1.8788 2.0489
Y 1.5624 5.6364 6.1467
```

Output
* E: -17.46 eV per formula unit
* crystal system: cubic

No. 5
Material: ZrTcHg2
Method: DFT, PBE
State: optimized geometry

```
4
Lattice="0.0000 3.3879 3.3879 3.3879 0.0000 3.3879 3.3879 3.3879 0.0000" Properties=species:S:1:pos:R:3 pbc="T T T"
Hg 0.0000 0.0000 0.0000
Hg 1.6940 1.6940 1.6940
Tc 5.0819 5.0819 5.0819
Zr 3.3879 3.3879 3.3879
```

Output
* ΔE_f: 32.4 kJ per mole of atoms
* crystal system: cubic

No. 6
Material: TcOsNO
Method: DFT, PBE
State: optimized geometry

```
8
Lattice="-2.6722 2.3776 -1.2887 -1.6388 0.0175 3.4305 3.4002 4.6890 1.6005" Properties=species:S:1:pos:R:3 pbc="T T T"
N 0.4003 1.6908 2.2894
N 0.8444 4.1957 0.3820
O 0.0000 0.0000 0.0000
O -2.1555 1.1975 1.0709
Os -0.8076 1.9177 -0.3956
Os 2.0523 3.9689 3.0669
Tc 1.7001 2.3445 0.8002
Tc -0.4554 3.5420 1.8712
```

Output
* E: -33.21 eV per formula unit
* crystal system: tetragonal

No. 7
Material: AcZn3Ni
Method: DFT, PBE
State: optimized geometry

```
5
Lattice="-0.8760 -5.7378 0.1783 4.4847 -0.5714 3.6444 -3.5834 0.6875 4.5174" Properties=species:S:1:pos:R:3 pbc="T T T"
Ac 0.0000 0.0000 0.0000
Ni 0.0126 -2.8108 4.1701
Zn -0.4380 -2.8689 0.0892
Zn 2.2424 -0.2857 1.8222
Zn -1.7917 0.3437 2.2587
```

Output
* ΔE_f: 143.0 kJ per mole of atoms
* crystal system: cubic

No. 8
Material: NbTlTeO
Method: DFT, PBE
State: optimized geometry

```
8
Lattice="-3.3074 1.6893 -1.1463 -1.6772 -1.0044 3.3593 3.3649 9.6944 4.5786" Properties=species:S:1:pos:R:3 pbc="T T T"
Nb -0.9311 1.0790 0.9820
Nb -0.6887 9.3004 5.8096
O -2.8999 1.0159 -0.0199
O -2.0848 -0.3310 2.2329
Te -2.9609 2.7540 2.7178
Te 1.3411 7.6254 4.0738
Tl -1.2174 5.8631 2.2694
Tl -0.4024 4.5163 4.5222
```

Output
* E: -23.07 eV per formula unit
* crystal system: tetragonal

M_tot values (in μB per formula unit) by entry order: 0.01; 0.00; 0.00; 0.04; 0.03; 0.01; 0.72; 1.00.